Entry 1:
Entry from Alexandria: an optimized crystal structure of TbCeSmN3 (PBE).

Calculated values
V	194	Å³ per cell
symmetry	No. 11
formation energy from raw total energies	-1328	meV per atom

Unit cell a=6.015 b=3.418 c=9.476 alpha=90.00 beta=94.45 gamma=90.00
Element x y z (fractional)
Tb 0.240 0.250 0.445
Tb 0.760 0.750 0.555
Ce 0.278 0.750 0.764
Ce 0.722 0.250 0.236
Sm 0.191 0.750 0.121
Sm 0.809 0.250 0.879
N 0.017 0.250 0.651
N 0.220 0.250 0.951
N 0.482 0.750 0.334
N 0.518 0.250 0.666
N 0.780 0.750 0.049
N 0.983 0.750 0.349

=====

Entry 2:
Entry from Alexandria: an optimized crystal structure of CeSmTeN2 (PBE).

Calculated values
V	217	Å³ per cell
symmetry	No. 107
formation energy from raw total energies	-1292	meV per atom

Unit cell a=4.010 b=4.010 c=13.513 alpha=90.00 beta=90.00 gamma=90.00
Element x y z (fractional)
Ce 0.000 0.000 0.000
Ce 0.500 0.500 0.500
Sm 0.000 0.000 0.664
Sm 0.500 0.500 0.164
Te 0.000 0.000 0.331
Te 0.500 0.500 0.831
N 0.000 0.500 0.075
N 0.000 0.500 0.575
N 0.500 0.000 0.075
N 0.500 0.000 0.575

=====

Entry 3:
Entry from Alexandria: an optimized crystal structure of CeSm2Te2N2 (PBE).

Calculated values
V	324	Å³ per cell
symmetry	No. 139
formation energy from raw total energies	-1298	meV per atom

Unit cell a=4.451 b=4.451 c=16.380 alpha=90.00 beta=90.00 gamma=90.00
Element x y z (fractional)
Ce 0.000 0.000 0.000
Ce 0.500 0.500 0.500
Sm 0.000 0.000 0.393
Sm 0.000 0.000 0.607
Sm 0.500 0.500 0.107
Sm 0.500 0.500 0.893
Te 0.000 0.000 0.188
Te 0.000 0.000 0.812
Te 0.500 0.500 0.312
Te 0.500 0.500 0.688
N 0.000 0.500 0.000
N 0.000 0.500 0.500
N 0.500 0.000 0.000
N 0.500 0.000 0.500

=====

Entry 4:
Entry from Alexandria: an optimized crystal structure of CeSmThN3 (PBE).

Calculated values
V	205	Å³ per cell
symmetry	No. 11
formation energy from raw total energies	-1368	meV per atom

Unit cell a=6.158 b=3.508 c=9.532 alpha=90.00 beta=94.30 gamma=90.00
Element x y z (fractional)
Ce 0.190 0.250 0.121
Ce 0.810 0.750 0.879
Sm 0.275 0.250 0.768
Sm 0.725 0.750 0.232
Th 0.244 0.750 0.441
Th 0.756 0.250 0.559
N 0.018 0.750 0.648
N 0.206 0.750 0.961
N 0.480 0.250 0.340
N 0.520 0.750 0.660
N 0.794 0.250 0.039
N 0.982 0.250 0.352

=====

Entry 5:
Entry from Alexandria: an optimized crystal structure of Ce2Sm3ThN6 (PBE).

Calculated values
V	197	Å³ per cell
symmetry	No. 12
formation energy from raw total energies	-1530	meV per atom

Unit cell a=6.230 b=6.230 c=6.219 alpha=99.61 beta=99.61 gamma=119.98
Element x y z (fractional)
Ce 0.166 0.834 0.000
Ce 0.834 0.166 0.000
Sm 0.000 0.000 0.500
Sm 0.332 0.668 0.500
Sm 0.668 0.332 0.500
Th 0.500 0.500 0.000
N 0.085 0.420 0.759
N 0.245 0.245 0.241
N 0.420 0.085 0.759
N 0.580 0.915 0.241
N 0.755 0.755 0.759
N 0.915 0.580 0.241

=====

Entry 6:
Entry from Alexandria: an optimized crystal structure of Ce4SmTh3N8 (PBE).

Calculated values
V	266	Å³ per cell
symmetry	No. 166
formation energy from raw total energies	-1537	meV per atom

Unit cell a=7.221 b=7.221 c=7.221 alpha=60.03 beta=60.03 gamma=60.03
Element x y z (fractional)
Ce 0.000 0.000 0.000
Ce 0.000 0.500 0.500
Ce 0.500 0.000 0.500
Ce 0.500 0.500 0.000
Sm 0.500 0.500 0.500
Th 0.000 0.000 0.500
Th 0.000 0.500 0.000
Th 0.500 0.000 0.000
N 0.247 0.247 0.752
N 0.247 0.752 0.247
N 0.248 0.753 0.753
N 0.250 0.250 0.250
N 0.750 0.750 0.750
N 0.752 0.247 0.247
N 0.753 0.248 0.753
N 0.753 0.753 0.248

=====

Entry 7:
Entry from Alexandria: an optimized crystal structure of Ce3Sm2ThN6 (PBE).

Calculated values
V	197	Å³ per cell
symmetry	No. 12
formation energy from raw total energies	-1526	meV per atom

Unit cell a=6.217 b=6.217 c=6.227 alpha=99.57 beta=99.57 gamma=119.99
Element x y z (fractional)
Ce 0.000 0.000 0.000
Ce 0.332 0.668 0.000
Ce 0.668 0.332 0.000
Sm 0.166 0.834 0.500
Sm 0.834 0.166 0.500
Th 0.500 0.500 0.500
N 0.086 0.415 0.244
N 0.257 0.257 0.756
N 0.415 0.086 0.244
N 0.585 0.914 0.756
N 0.743 0.743 0.244
N 0.914 0.585 0.756

=====

Entry 8:
Entry from Alexandria: an optimized crystal structure of Ce3SmTh2N6 (PBE).

Calculated values
V	199	Å³ per cell
symmetry	No. 12
formation energy from raw total energies	-1538	meV per atom

Unit cell a=6.247 b=6.247 c=6.248 alpha=99.57 beta=99.57 gamma=120.01
Element x y z (fractional)
Ce 0.000 0.000 0.000
Ce 0.335 0.665 0.000
Ce 0.665 0.335 0.000
Sm 0.500 0.500 0.500
Th 0.167 0.833 0.500
Th 0.833 0.167 0.500
N 0.078 0.416 0.247
N 0.247 0.247 0.753
N 0.416 0.078 0.247
N 0.584 0.922 0.753
N 0.753 0.753 0.247
N 0.922 0.584 0.753

=====

Entry 9:
Entry from Alexandria: an optimized crystal structure of CeSmTh2N4 (PBE).

Calculated values
V	135	Å³ per cell
symmetry	No. 10
formation energy from raw total energies	-1547	meV per atom

Unit cell a=6.266 b=3.628 c=6.290 alpha=90.00 beta=109.52 gamma=90.00
Element x y z (fractional)
Ce 0.000 0.000 0.000
Sm 0.000 0.500 0.500
Th 0.500 0.000 0.500
Th 0.500 0.500 0.000
N 0.251 0.500 0.248
N 0.255 0.000 0.755
N 0.745 0.000 0.245
N 0.749 0.500 0.752

=====

Entry 10:
Entry from Alexandria: an optimized crystal structure of CeSm2Th3N6 (PBE).

Calculated values
V	202	Å³ per cell
symmetry	No. 12
formation energy from raw total energies	-1549	meV per atom

Unit cell a=6.293 b=6.293 c=6.264 alpha=99.61 beta=99.61 gamma=120.03
Element x y z (fractional)
Ce 0.000 0.000 0.000
Sm 0.333 0.667 0.000
Sm 0.667 0.333 0.000
Th 0.167 0.833 0.500
Th 0.500 0.500 0.500
Th 0.833 0.167 0.500
N 0.085 0.413 0.255
N 0.243 0.243 0.745
N 0.413 0.085 0.255
N 0.587 0.915 0.745
N 0.757 0.757 0.255
N 0.915 0.587 0.745

=====

Entry 11:
Entry from Alexandria: an optimized crystal structure of CeSmTm2N4 (PBE).

Calculated values
V	120	Å³ per cell
symmetry	No. 10
formation energy from raw total energies	-1640	meV per atom

Unit cell a=6.035 b=3.489 c=6.039 alpha=90.00 beta=109.29 gamma=90.00
Element x y z (fractional)
Ce 0.000 0.000 0.000
Sm 0.500 0.500 0.000
Tm 0.000 0.500 0.500
Tm 0.500 0.000 0.500
N 0.241 0.000 0.741
N 0.249 0.500 0.258
N 0.751 0.500 0.742
N 0.759 0.000 0.259

=====

Entry 12:
Entry from Alexandria: an optimized crystal structure of Ce3Sm4UN8 (PBE).

Calculated values
V	254	Å³ per cell
symmetry	No. 166
formation energy from raw total energies	-1500	meV per atom

Unit cell a=7.101 b=7.101 c=7.101 alpha=60.12 beta=60.12 gamma=60.12
Element x y z (fractional)
Ce 0.000 0.500 0.500
Ce 0.500 0.000 0.500
Ce 0.500 0.500 0.000
Sm 0.000 0.000 0.500
Sm 0.000 0.500 0.000
Sm 0.500 0.000 0.000
Sm 0.500 0.500 0.500
U 0.000 0.000 0.000
N 0.233 0.233 0.763
N 0.233 0.763 0.233
N 0.237 0.767 0.767
N 0.254 0.254 0.254
N 0.746 0.746 0.746
N 0.763 0.233 0.233
N 0.767 0.237 0.767
N 0.767 0.767 0.237